## Ca2Si5Ir3 (PBE-GGA)

Data for crystalline Ca2Si5Ir3 at its relaxed geometry.

a = 5.7271 Å, b = 8.1879 Å, c = 8.1879 Å
α = 94.19°, β = 71.11°, γ = 71.11°
Atoms (fractional coordinates):
Ir: 0.8732 0.7420 0.4601
Ir: 0.1268 0.2580 0.5399
Ir: 0.3732 0.4601 0.7420
Ir: 0.7500 0.9962 0.0038
Ir: 0.2500 0.0038 0.9962
Ir: 0.6268 0.5399 0.2580
Ca: 0.7414 0.1334 0.4019
Ca: 0.2414 0.4019 0.1334
Ca: 0.2586 0.8666 0.5981
Ca: 0.7586 0.5981 0.8666
Si: 0.2500 0.7752 0.2248
Si: 0.7500 0.4894 0.5106
Si: 0.2500 0.2099 0.7901
Si: 0.6652 0.9391 0.7351
Si: 0.8348 0.2649 0.0609
Si: 0.7500 0.2248 0.7752
Si: 0.1652 0.7351 0.9391
Si: 0.3348 0.0609 0.2649
Si: 0.7500 0.7901 0.2099
Si: 0.2500 0.5106 0.4894

Summary:
The calculation puts the energy relative to the elements, uncorrected at -797 meV/atom. Its density of states at the Fermi level is 3.04 states/eV/f.u. For the total DFT energy (no corrections), the calculation gives -6.567 eV/atom. The total moment comes out at 0.0000 μB per atom. The crystal system is monoclinic.